[1]
# SnAsS2N PBEsol optimized geometry
# mass density = 5.2 g cm⁻³
# DOS at the Fermi energy = 2.6 states/eV/cell
# uncorrected energy = -4.887 eV/atom
data_SnAsS2N
_chemical_formula_sum 'Sn1 As1 S2 N1'
_space_group_name_H-M_alt 'P 4/m m m'
_space_group_IT_number 123
_space_group_name_Hall '-P 4 2'
_cell_length_a 4.875
_cell_length_b 4.875
_cell_length_c 3.640
_cell_angle_alpha 90.00
_cell_angle_beta 90.00
_cell_angle_gamma 90.00
loop_
_atom_site_label
_atom_site_fract_x
_atom_site_fract_y
_atom_site_fract_z
_atom_site_occupancy
Sn1 0.000 0.000 0.000 1
As1 0.500 0.500 0.500 1
S1 0.000 0.500 0.500 1
N1 0.500 0.500 0.000 1

[2]
# SrAsS2N PBEsol optimized geometry
# mass density = 4.4 g cm⁻³
# DOS at the Fermi energy = 2.2 states/eV/cell
# uncorrected energy = -5.154 eV/atom
data_SrAsS2N
_chemical_formula_sum 'Sr1 As1 S2 N1'
_space_group_name_H-M_alt 'P 4/m m m'
_space_group_IT_number 123
_space_group_name_Hall '-P 4 2'
_cell_length_a 4.921
_cell_length_b 4.921
_cell_length_c 3.779
_cell_angle_alpha 90.00
_cell_angle_beta 90.00
_cell_angle_gamma 90.00
loop_
_atom_site_label
_atom_site_fract_x
_atom_site_fract_y
_atom_site_fract_z
_atom_site_occupancy
Sr1 0.000 0.000 0.000 1
As1 0.500 0.500 0.500 1
S1 0.000 0.500 0.500 1
N1 0.500 0.500 0.000 1

[3]
# TeAsSN2 PBEsol optimized geometry
# mass density = 5.1 g cm⁻³
# DOS at the Fermi energy = 3.8 states/eV/cell
# ΔE to the lowest computed polymorph = 408 meV/atom
# uncorrected energy = -4.494 eV/atom
data_TeAsSN2
_chemical_formula_sum 'Te1 As1 S1 N2'
_space_group_name_H-M_alt 'P 4/m m m'
_space_group_IT_number 123
_space_group_name_Hall '-P 4 2'
_cell_length_a 3.655
_cell_length_b 3.655
_cell_length_c 6.407
_cell_angle_alpha 90.00
_cell_angle_beta 90.00
_cell_angle_gamma 90.00
loop_
_atom_site_label
_atom_site_fract_x
_atom_site_fract_y
_atom_site_fract_z
_atom_site_occupancy
Te1 0.000 0.000 0.000 1
As1 0.500 0.500 0.000 1
S1 0.000 0.000 0.500 1
N1 0.000 0.500 0.500 1

[4]
# TeAsSN2 PBEsol optimized geometry
# mass density = 6.2 g cm⁻³
# DOS at the Fermi energy = 2.8 states/eV/cell
# ΔE to the lowest computed polymorph = 0 meV/atom
# uncorrected energy = -4.901 eV/atom
data_TeAsSN2
_chemical_formula_sum 'Te1 As1 S1 N2'
_space_group_name_H-M_alt 'P 4/m m m'
_space_group_IT_number 123
_space_group_name_Hall '-P 4 2'
_cell_length_a 3.844
_cell_length_b 3.844
_cell_length_c 4.755
_cell_angle_alpha 90.00
_cell_angle_beta 90.00
_cell_angle_gamma 90.00
loop_
_atom_site_label
_atom_site_fract_x
_atom_site_fract_y
_atom_site_fract_z
_atom_site_occupancy
Te1 0.000 0.000 0.000 1
As1 0.500 0.500 0.500 1
S1 0.500 0.500 0.000 1
N1 0.000 0.500 0.500 1

[5]
# TlAsS2N PBEsol optimized geometry
# mass density = 5.6 g cm⁻³
# DOS at the Fermi energy = 3.3 states/eV/cell
# uncorrected energy = -3.564 eV/atom
data_TlAsS2N
_chemical_formula_sum 'Tl1 As1 S2 N1'
_space_group_name_H-M_alt 'P 4/m m m'
_space_group_IT_number 123
_space_group_name_Hall '-P 4 2'
_cell_length_a 5.118
_cell_length_b 5.118
_cell_length_c 4.081
_cell_angle_alpha 90.00
_cell_angle_beta 90.00
_cell_angle_gamma 90.00
loop_
_atom_site_label
_atom_site_fract_x
_atom_site_fract_y
_atom_site_fract_z
_atom_site_occupancy
Tl1 0.000 0.000 0.000 1
As1 0.500 0.500 0.500 1
S1 0.000 0.500 0.000 1
N1 0.000 0.000 0.500 1

[6]
# ScSbAs2N PBEsol optimized geometry
# mass density = 6.2 g cm⁻³
# DOS at the Fermi energy = 2.1 states/eV/cell
# uncorrected energy = -6.108 eV/atom
data_ScSbAs2N
_chemical_formula_sum 'Sc1 Sb1 As2 N1'
_space_group_name_H-M_alt 'P 4/m m m'
_space_group_IT_number 123
_space_group_name_Hall '-P 4 2'
_cell_length_a 4.552
_cell_length_b 4.552
_cell_length_c 4.297
_cell_angle_alpha 90.00
_cell_angle_beta 90.00
_cell_angle_gamma 90.00
loop_
_atom_site_label
_atom_site_fract_x
_atom_site_fract_y
_atom_site_fract_z
_atom_site_occupancy
Sc1 0.000 0.000 0.000 1
Sb1 0.500 0.500 0.000 1
As1 0.000 0.500 0.500 1
N1 0.000 0.000 0.500 1

[7]
# Ta2SbAsN PBEsol optimized geometry
# mass density = 10.6 g cm⁻³
# DOS at the Fermi energy = 3.8 states/eV/cell
# uncorrected energy = -7.709 eV/atom
data_Ta2SbAsN
_chemical_formula_sum 'Ta2 Sb1 As1 N1'
_space_group_name_H-M_alt 'P 4/m m m'
_space_group_IT_number 123
_space_group_name_Hall '-P 4 2'
_cell_length_a 4.902
_cell_length_b 4.902
_cell_length_c 3.721
_cell_angle_alpha 90.00
_cell_angle_beta 90.00
_cell_angle_gamma 90.00
loop_
_atom_site_label
_atom_site_fract_x
_atom_site_fract_y
_atom_site_fract_z
_atom_site_occupancy
Ta1 0.000 0.500 0.000 1
Sb1 0.000 0.000 0.500 1
As1 0.500 0.500 0.000 1
N1 0.500 0.500 0.500 1

[8]
# SbTe2AsN PBEsol optimized geometry
# mass density = 6.8 g cm⁻³
# DOS at the Fermi energy = 4.1 states/eV/cell
# uncorrected energy = -4.382 eV/atom
data_SbTe2AsN
_chemical_formula_sum 'Sb1 Te2 As1 N1'
_space_group_name_H-M_alt 'P 4/m m m'
_space_group_IT_number 123
_space_group_name_Hall '-P 4 2'
_cell_length_a 5.568
_cell_length_b 5.568
_cell_length_c 3.690
_cell_angle_alpha 90.00
_cell_angle_beta 90.00
_cell_angle_gamma 90.00
loop_
_atom_site_label
_atom_site_fract_x
_atom_site_fract_y
_atom_site_fract_z
_atom_site_occupancy
Sb1 0.000 0.000 0.000 1
Te1 0.000 0.500 0.500 1
As1 0.500 0.500 0.500 1
N1 0.500 0.500 0.000 1

[9]
# ScAsN3 PBEsol optimized geometry
# mass density = 5.2 g cm⁻³
# DOS at the Fermi energy = 1.5 states/eV/cell
# uncorrected energy = -7.270 eV/atom
data_ScAsN3
_chemical_formula_sum 'Sc1 As1 N3'
_space_group_name_H-M_alt 'P m -3 m'
_space_group_IT_number 221
_space_group_name_Hall '-P 4 2 3'
_cell_length_a 3.720
_cell_length_b 3.720
_cell_length_c 3.720
_cell_angle_alpha 90.00
_cell_angle_beta 90.00
_cell_angle_gamma 90.00
loop_
_atom_site_label
_atom_site_fract_x
_atom_site_fract_y
_atom_site_fract_z
_atom_site_occupancy
Sc1 0.000 0.000 0.000 1
As1 0.500 0.500 0.500 1
N1 0.000 0.500 0.500 1

[10]
# AsSe3N PBEsol optimized geometry
# mass density = 6.5 g cm⁻³
# DOS at the Fermi energy = 2.5 states/eV/cell
# uncorrected energy = -4.218 eV/atom
data_AsSe3N
_chemical_formula_sum 'As1 Se3 N1'
_space_group_name_H-M_alt 'P m -3 m'
_space_group_IT_number 221
_space_group_name_Hall '-P 4 2 3'
_cell_length_a 4.366
_cell_length_b 4.366
_cell_length_c 4.366
_cell_angle_alpha 90.00
_cell_angle_beta 90.00
_cell_angle_gamma 90.00
loop_
_atom_site_label
_atom_site_fract_x
_atom_site_fract_y
_atom_site_fract_z
_atom_site_occupancy
As1 0.000 0.000 0.000 1
Se1 0.000 0.500 0.500 1
N1 0.500 0.500 0.500 1

[11]
# TaAs2SeN PBEsol optimized geometry
# mass density = 9.2 g cm⁻³
# DOS at the Fermi energy = 2.4 states/eV/cell
# uncorrected energy = -6.369 eV/atom
data_TaAs2SeN
_chemical_formula_sum 'Ta1 As2 Se1 N1'
_space_group_name_H-M_alt 'P 4/m m m'
_space_group_IT_number 123
_space_group_name_Hall '-P 4 2'
_cell_length_a 4.139
_cell_length_b 4.139
_cell_length_c 4.464
_cell_angle_alpha 90.00
_cell_angle_beta 90.00
_cell_angle_gamma 90.00
loop_
_atom_site_label
_atom_site_fract_x
_atom_site_fract_y
_atom_site_fract_z
_atom_site_occupancy
Ta1 0.000 0.000 0.000 1
As1 0.000 0.500 0.500 1
Se1 0.500 0.500 0.000 1
N1 0.500 0.500 0.500 1

[12]
# TaAsSe2N PBEsol optimized geometry
# mass density = 9.2 g cm⁻³
# DOS at the Fermi energy = 3.7 states/eV/cell
# uncorrected energy = -6.058 eV/atom
data_TaAsSe2N
_chemical_formula_sum 'Ta1 As1 Se2 N1'
_space_group_name_H-M_alt 'P 4/m m m'
_space_group_IT_number 123
_space_group_name_Hall '-P 4 2'
_cell_length_a 4.214
_cell_length_b 4.214
_cell_length_c 4.332
_cell_angle_alpha 90.00
_cell_angle_beta 90.00
_cell_angle_gamma 90.00
loop_
_atom_site_label
_atom_site_fract_x
_atom_site_fract_y
_atom_site_fract_z
_atom_site_occupancy
Ta1 0.000 0.000 0.000 1
As1 0.500 0.500 0.000 1
Se1 0.000 0.500 0.500 1
N1 0.500 0.500 0.500 1